! Ba6NaPt (PBE, relaxed); values from VASP
! Magnetization in μB/f.u.: 0.0
! Formation energy from the elements in eV/atom: -0.224
! Space-group type: C2/m
! Crystal system: monoclinic
! Energy in eV/atom: -2.586
&SYSTEM
  ibrav = 0, nat = 8, ntyp = 3
/
ATOMIC_SPECIES
Ba 137.33 Ba.upf
Pt 195.08 Pt.upf
Na 22.99 Na.upf
CELL_PARAMETERS angstrom
-0.147 5.397 -5.724
3.761 -3.983 -5.649
-7.317 -6.157 3.258
ATOMIC_POSITIONS crystal
Ba 0.639 0.282 0.921
Ba 0.368 0.281 0.282
Ba 0.999 0.085 0.718
Ba 0.001 0.915 0.282
Ba 0.361 0.718 0.079
Ba 0.632 0.719 0.718
Pt 0.000 0.000 0.000
Na 0.000 0.500 0.500

! RbCdTc3 (PBE, relaxed); values from VASP
! Magnetization in μB/f.u.: 3.8
! Formation energy from the elements in eV/atom: 3.055
! Space-group type: Pm-3m
! Crystal system: cubic
! Energy in eV/atom: -3.541
&SYSTEM
  ibrav = 0, nat = 5, ntyp = 3
/
ATOMIC_SPECIES
Tc 98.00 Tc.upf
Cd 112.41 Cd.upf
Rb 85.47 Rb.upf
CELL_PARAMETERS angstrom
4.734 0.000 0.000
0.000 4.734 0.000
0.000 0.000 4.734
ATOMIC_POSITIONS crystal
Tc 0.500 0.000 0.000
Tc 0.000 0.500 0.000
Tc 0.000 0.000 0.500
Cd 0.500 0.500 0.500
Rb 0.000 0.000 0.000

! BaMgSi2 (PBE, relaxed); values from VASP
! Magnetization in μB/f.u.: 0.0
! Space-group type: R3m
! Crystal system: trigonal
! Uncorrected formation energy in kJ/mol of formula units: -5
! Energy in eV/atom: -3.605
&SYSTEM
  ibrav = 0, nat = 4, ntyp = 3
/
ATOMIC_SPECIES
Mg 24.30 Mg.upf
Ba 137.33 Ba.upf
Si 28.09 Si.upf
CELL_PARAMETERS angstrom
-5.596 -4.741 -3.815
-2.214 -6.900 -3.980
-4.456 -6.934 -0.649
ATOMIC_POSITIONS crystal
Mg 0.722 0.722 0.722
Ba 0.518 0.518 0.518
Si 0.281 0.281 0.281
Si 0.980 0.980 0.980

! TlPbSeCl (PBE, relaxed); values from VASP
! Magnetization in μB/f.u.: 0.0
! Space-group type: R3m
! Crystal system: trigonal
! Uncorrected formation energy in kJ/mol of formula units: -290
! Energy in eV/atom: -3.602
&SYSTEM
  ibrav = 0, nat = 4, ntyp = 4
/
ATOMIC_SPECIES
Pb 207.20 Pb.upf
Se 78.96 Se.upf
Tl 204.38 Tl.upf
Cl 35.45 Cl.upf
CELL_PARAMETERS angstrom
4.381 -0.001 -0.001
-2.190 3.795 0.000
-2.191 -1.265 7.769
ATOMIC_POSITIONS crystal
Pb 0.314 0.555 0.884
Se 0.118 0.957 0.090
Tl 0.959 0.378 0.352
Cl 0.487 0.142 0.644

! Be2TcW (PBE, relaxed); values from VASP
! Magnetization in μB/f.u.: 0.0
! Formation energy from the elements in eV/atom: -0.221
! Space-group type: Amm2
! Crystal system: orthorhombic
! Energy in eV/atom: -7.914
&SYSTEM
  ibrav = 0, nat = 4, ntyp = 3
/
ATOMIC_SPECIES
Be 9.01 Be.upf
W 183.84 W.upf
Tc 98.00 Tc.upf
CELL_PARAMETERS angstrom
-2.996 -0.741 0.955
0.232 -2.790 -1.436
1.740 -3.178 2.995
ATOMIC_POSITIONS crystal
Be 0.000 0.192 0.992
Be 0.500 0.056 0.261
W 0.500 0.779 0.818
Tc 0.000 0.473 0.428

! Nd2AlTe (PBE, relaxed); values from VASP
! Magnetization in μB/f.u.: 0.0
! Space-group type: R3m
! Crystal system: trigonal
! Uncorrected formation energy in kJ/mol of formula units: -262
! Energy in eV/atom: -4.783
&SYSTEM
  ibrav = 0, nat = 4, ntyp = 3
/
ATOMIC_SPECIES
Te 127.60 Te.upf
Nd 144.24 Nd.upf
Al 26.98 Al.upf
CELL_PARAMETERS angstrom
-2.325 3.090 1.522
-2.997 -0.820 2.760
3.741 1.802 7.726
ATOMIC_POSITIONS crystal
Te 0.668 0.668 0.997
Nd 0.082 0.082 0.754
Nd 0.251 0.251 0.246
Al 0.499 0.499 0.502